[1]
Computed, not measured: a geometry-optimized BeHgSe structure at the PBE-GGA level of DFT.

Structure (CIF):
```
data_BeHgSe
_chemical_formula_sum 'Be2 Hg2 Se2'
_cell_length_a 3.6288
_cell_length_b 6.4950
_cell_length_c 7.0205
_cell_angle_alpha 67.48
_cell_angle_beta 89.82
_cell_angle_gamma 89.74
_symmetry_space_group_name_H-M 'P -1'
_symmetry_Int_Tables_number 2
loop_
_symmetry_equiv_pos_as_xyz
'x,y,z'
'-x,-y,-z'
loop_
_atom_site_label
_atom_site_type_symbol
_atom_site_fract_x
_atom_site_fract_y
_atom_site_fract_z
_atom_site_occupancy
Be1 Be 0.2499 0.0963 0.3847 1
Hg1 Hg 0.2468 0.5192 0.2094 1
Se1 Se 0.2486 0.0181 0.7214 1
```

Output
**Calculated total energy**: -2.854 eV/atom
**V**: 153 Å³ per cell
**Uncorrected formation energy**: -350 meV per atom
**Excess energy over the best structure of this formula in the dataset**: 0.0582 eV/atom



[2]
Computed, not measured: a geometry-optimized MgRe2Te structure at the PBE-GGA level of DFT.

Structure (CIF):
```
data_MgRe2Te
_chemical_formula_sum 'Mg2 Re4 Te2'
_cell_length_a 4.1443
_cell_length_b 4.1443
_cell_length_c 7.9356
_cell_angle_alpha 90.00
_cell_angle_beta 90.00
_cell_angle_gamma 90.00
_symmetry_space_group_name_H-M 'I -4 m 2'
_symmetry_Int_Tables_number 119
_symmetry_space_group_name_Hall 'I -4 -2'
loop_
_atom_site_label
_atom_site_type_symbol
_atom_site_fract_x
_atom_site_fract_y
_atom_site_fract_z
_atom_site_occupancy
Mg1 Mg 0.0000 0.0000 0.0000 1
Re1 Re 0.0000 0.0000 0.5000 1
Re2 Re 0.0000 0.5000 0.7500 1
Te1 Te 0.0000 0.5000 0.2500 1
```

Output
**Calculated total energy**: -6.732 eV/atom
**V**: 136 Å³ per cell
**Uncorrected formation energy**: 676 meV per atom
**Excess energy over the best structure of this formula in the dataset**: 0.4639 eV/atom